# 1
AcPr2YTl2 | PBE | relaxed

VASP energy ... -52.915 eV for the cell shown
Space group ... Pmc2_1 (26)
Calculated formation energy ... -265.6 meV per atom

Unit cell a=4.9288 b=9.6771 c=8.6125 alpha=90.00 beta=90.00 gamma=90.00
Last column: nearest neighbours and their distance in Å.
Fractional coordinates of all 12 atoms:
Ac1 0.0000 0.0823 0.0000  5 Tl 3.47-3.64, 2 Y 3.87
Ac2 0.0000 0.9177 0.5000  5 Tl 3.47-3.64, 2 Y 3.87
Pr1 0.0000 0.3257 0.3833  4 Tl 3.13-3.26
Pr2 0.0000 0.6743 0.8833  4 Tl 3.13-3.26
Pr3 0.5000 0.4198 0.0515  5 Tl 3.54-3.66, 4 Pr 3.77-3.88, 1 Y 3.92
Pr4 0.5000 0.5802 0.5515  5 Tl 3.54-3.66, 4 Pr 3.77-3.88, 1 Y 3.92
Y1 0.5000 0.1879 0.6659  4 Tl 3.13-3.29
Y2 0.5000 0.8121 0.1659  4 Tl 3.13-3.29
Tl1 0.0000 0.3700 0.7590  2 Pr 3.13-3.26, 2 Y 3.13, 1 Ac 3.47
Tl2 0.0000 0.6300 0.2590  2 Pr 3.13-3.26, 2 Y 3.13, 1 Ac 3.47
Tl3 0.5000 0.1222 0.2907  2 Y 3.19-3.29, 3 Pr 3.25-3.54, 2 Ac 3.53
Tl4 0.5000 0.8778 0.7907  2 Y 3.19-3.29, 3 Pr 3.25-3.54, 2 Ac 3.53

=====

# 2
Pr2HoIn4 | PBE | relaxed

VASP energy ... -27.366 eV for the cell shown
Offset from the most stable computed form ... 0.000 eV per atom
Space group ... I4/mmm (139)
Calculated formation energy ... -325.0 meV per atom

Unit cell a=8.4146 b=8.4146 c=8.4146 alpha=143.18 beta=143.18 gamma=53.05
Last column: nearest neighbours and their distance in Å.
Fractional coordinates of all 7 atoms:
Pr1 0.2488 0.2488 0.0000  8 In 3.40-3.42, 4 Pr 3.76, 1 Ho 3.78
Pr2 0.7512 0.7512 0.0000  8 In 3.40-3.42, 4 Pr 3.76, 1 Ho 3.78
Ho1 0.5000 0.5000 0.0000  8 In 3.12
In1 0.1083 0.6083 0.5000  2 Ho 3.12, 1 In 3.26, 4 Pr 3.40-3.42
In2 0.3917 0.8917 0.5000  2 Ho 3.12, 1 In 3.26, 4 Pr 3.40-3.42
In3 0.6083 0.1083 0.5000  2 Ho 3.12, 1 In 3.26, 4 Pr 3.40-3.42
In4 0.8917 0.3917 0.5000  2 Ho 3.12, 1 In 3.26, 4 Pr 3.40-3.42

=====

# 3
CaNdPa | PBE | relaxed

VASP energy ... -30.564 eV for the cell shown
Space group ... Amm2 (38)
Calculated formation energy ... 327.8 meV per atom

Unit cell a=16.8451 b=3.3855 c=3.3855 alpha=90.08 beta=90.00 gamma=90.00
Last column: nearest neighbours and their distance in Å.
Fractional coordinates of all 6 atoms:
Ca1 0.0000 0.0000 0.0000  4 Ca 3.39, 8 Pa 3.70
Ca2 0.5000 0.4989 0.4989  4 Ca 3.39
Nd1 0.3132 0.0003 0.0003  4 Nd 3.39, 4 Pa 3.43
Nd2 0.6868 0.0003 0.0003  4 Nd 3.39, 4 Pa 3.43
Pa1 0.1676 0.5004 0.5004  4 Pa 3.39, 4 Nd 3.43, 4 Ca 3.70
Pa2 0.8324 0.5004 0.5004  4 Pa 3.39, 4 Nd 3.43, 4 Ca 3.70

=====

So what do the calculations give for magnetization? Going down the list: 1.968 0.000 0.770 μB/f.u..